# 1
{"formula": "HoTiIn2", "functional": "PBE-GGA", "state": "relaxed", "delta_e_f_ev_per_atom": -0.07, "e_tot_ev_per_cell": -18.22, "density_g_cm3": 7.7, "lattice_angstrom": [[3.346, 0.000, 0.000], [1.673, 2.898, 0.000], [1.673, 0.966, 9.850]], "species": ["In", "In", "Ti", "Ho"], "frac_coords": [[0.743, 0.743, 0.770], [0.257, 0.257, 0.230], [0.000, 0.000, 0.000], [0.500, 0.500, 0.500]]}


# 2
{"formula": "HoTmTiIn", "functional": "PBE-GGA", "state": "relaxed", "delta_e_f_ev_per_atom": -0.09, "e_tot_ev_per_cell": -20.06, "density_g_cm3": 8.2, "lattice_angstrom": [[5.213, 0.000, 0.000], [2.606, 4.514, 0.000], [2.606, 1.505, 4.256]], "species": ["Tm", "Ti", "Ho", "In"], "frac_coords": [[0.500, 0.500, 0.500], [0.250, 0.250, 0.250], [0.000, 0.000, 0.000], [0.750, 0.750, 0.750]]}


# 3
{"formula": "HoZrTiIn", "functional": "PBE-GGA", "state": "relaxed", "delta_e_f_ev_per_atom": -0.06, "e_tot_ev_per_cell": -23.99, "density_g_cm3": 7.5, "lattice_angstrom": [[-3.978, 3.018, -0.992], [-3.562, 0.767, 3.555], [-0.386, 4.536, 2.280]], "species": ["In", "Ho", "Zr", "Ti"], "frac_coords": [[0.500, 0.500, 0.500], [0.250, 0.250, 0.250], [0.750, 0.750, 0.750], [0.000, 0.000, 0.000]]}


# 4
{"formula": "Ho7Tl4In", "functional": "PBE-GGA", "state": "relaxed", "delta_e_f_ev_per_atom": -0.15, "e_tot_ev_per_cell": -46.09, "density_g_cm3": 9.9, "lattice_angstrom": [[-2.729, 4.759, -1.094], [-8.494, -1.999, -1.807], [-6.379, 1.018, 6.041]], "species": ["Ho", "Ho", "Ho", "Ho", "Ho", "Ho", "Ho", "Tl", "Tl", "Tl", "Tl", "In"], "frac_coords": [[0.500, 0.000, 0.000], [0.280, 0.614, 0.826], [0.838, 0.919, 0.405], [0.930, 0.403, 0.736], [0.070, 0.597, 0.264], [0.720, 0.386, 0.174], [0.162, 0.081, 0.595], [0.440, 0.707, 0.412], [0.709, 0.759, 0.824], [0.291, 0.241, 0.176], [0.560, 0.293, 0.588], [0.000, 0.000, 0.000]]}


# 5
{"formula": "Ho12Tl2In5", "functional": "PBE-GGA", "state": "relaxed", "delta_e_f_ev_per_atom": -0.09, "e_tot_ev_per_cell": -75.14, "density_g_cm3": 8.3, "lattice_angstrom": [[-0.016, -6.498, 3.122], [8.167, 2.775, -2.507], [0.784, 4.303, 8.961]], "species": ["Ho", "Ho", "Ho", "Ho", "Ho", "Ho", "Ho", "Ho", "Ho", "Ho", "Ho", "Ho", "In", "In", "In", "In", "In", "Tl", "Tl"], "frac_coords": [[0.063, 0.641, 0.881], [0.477, 0.953, 0.685], [0.097, 0.195, 0.826], [0.408, 0.292, 0.559], [0.884, 0.292, 0.559], [0.937, 0.359, 0.119], [0.577, 0.641, 0.881], [0.423, 0.359, 0.119], [0.592, 0.708, 0.441], [0.523, 0.047, 0.315], [0.903, 0.805, 0.174], [0.116, 0.708, 0.441], [0.000, 0.000, 0.500], [0.346, 0.693, 0.163], [0.654, 0.307, 0.837], [0.720, 0.439, 0.344], [0.280, 0.561, 0.656], [0.714, 0.000, 0.000], [0.286, 0.000, 0.000]]}


# 6
{"formula": "Ho2TlIn", "functional": "PBE-GGA", "state": "relaxed", "delta_e_f_ev_per_atom": -0.39, "e_tot_ev_per_cell": -15.82, "density_g_cm3": 10.1, "lattice_angstrom": [[-0.623, -2.110, -4.847], [2.947, -4.177, -1.483], [-2.258, -4.789, -0.548]], "species": ["Ho", "Ho", "In", "Tl"], "frac_coords": [[0.500, 0.500, 0.500], [0.000, 0.000, 0.000], [0.250, 0.250, 0.250], [0.750, 0.750, 0.750]]}


# 7
{"formula": "Ho2TlIn2", "functional": "PBE-GGA", "state": "relaxed", "delta_e_f_ev_per_atom": -0.32, "e_tot_ev_per_cell": -37.19, "relative_energy_kj_per_mol_fu": 0, "density_g_cm3": 9.4, "lattice_angstrom": [[4.629, 0.000, 0.000], [0.000, 7.653, 0.000], [0.000, 0.000, 7.653]], "species": ["Ho", "Ho", "Ho", "Ho", "In", "In", "In", "In", "Tl", "Tl"], "frac_coords": [[0.500, 0.333, 0.167], [0.500, 0.667, 0.833], [0.500, 0.167, 0.667], [0.500, 0.833, 0.333], [0.000, 0.367, 0.867], [0.000, 0.867, 0.633], [0.000, 0.133, 0.367], [0.000, 0.633, 0.133], [0.000, 0.000, 0.000], [0.000, 0.500, 0.500]]}


# 8
{"formula": "Ho2TlIn2", "functional": "PBE-GGA", "state": "relaxed", "delta_e_f_ev_per_atom": -0.24, "e_tot_ev_per_cell": -36.42, "relative_energy_kj_per_mol_fu": 37, "density_g_cm3": 9.2, "lattice_angstrom": [[-2.756, -4.221, 1.165], [5.127, -0.343, -0.606], [1.522, 2.214, 11.624]], "species": ["In", "In", "In", "In", "Ho", "Ho", "Ho", "Ho", "Tl", "Tl"], "frac_coords": [[0.667, 0.333, 0.411], [0.333, 0.667, 0.589], [0.333, 0.667, 0.911], [0.667, 0.333, 0.089], [0.667, 0.333, 0.750], [0.000, 0.000, 0.500], [0.000, 0.000, 0.000], [0.333, 0.667, 0.250], [0.000, 0.000, 0.750], [0.000, 0.000, 0.250]]}


# 9
{"formula": "Ho4Tl3In", "functional": "PBE-GGA", "state": "relaxed", "delta_e_f_ev_per_atom": -0.36, "e_tot_ev_per_cell": -31.03, "relative_energy_kj_per_mol_fu": 0, "density_g_cm3": 10.8, "lattice_angstrom": [[3.758, 0.000, 0.000], [0.000, 3.758, 0.000], [0.000, 0.000, 15.165]], "species": ["In", "Ho", "Ho", "Ho", "Ho", "Tl", "Tl", "Tl"], "frac_coords": [[0.500, 0.500, 0.000], [0.000, 0.000, 0.626], [0.000, 0.000, 0.123], [0.000, 0.000, 0.374], [0.000, 0.000, 0.877], [0.500, 0.500, 0.248], [0.500, 0.500, 0.500], [0.500, 0.500, 0.752]]}


# 10
{"formula": "Ho5Tl2In", "functional": "PBE-GGA", "state": "relaxed", "delta_e_f_ev_per_atom": -0.31, "e_tot_ev_per_cell": -65.61, "density_g_cm3": 9.8, "lattice_angstrom": [[8.243, 0.000, 0.000], [0.000, 8.243, 0.000], [-4.121, -4.121, 6.731]], "species": ["Tl", "Tl", "Tl", "Tl", "Ho", "Ho", "Ho", "Ho", "Ho", "Ho", "Ho", "Ho", "Ho", "Ho", "In", "In"], "frac_coords": [[0.142, 0.358, 0.000], [0.858, 0.642, 0.000], [0.642, 0.142, 0.000], [0.358, 0.858, 0.000], [0.308, 0.808, 0.307], [0.692, 0.192, 0.693], [0.808, 0.999, 0.307], [0.001, 0.501, 0.693], [0.499, 0.308, 0.307], [0.192, 0.001, 0.693], [0.000, 0.000, 0.000], [0.500, 0.500, 0.000], [0.501, 0.692, 0.693], [0.999, 0.499, 0.307], [0.750, 0.750, 0.500], [0.250, 0.250, 0.500]]}


# 11
{"formula": "Ho5Tl2In2", "functional": "PBE-GGA", "state": "relaxed", "delta_e_f_ev_per_atom": -0.35, "e_tot_ev_per_cell": -72.52, "relative_energy_kj_per_mol_fu": 0, "density_g_cm3": 9.4, "lattice_angstrom": [[-5.372, 5.288, 2.292], [-4.839, -2.226, -6.203], [-1.019, -4.400, 7.763]], "species": ["In", "In", "In", "In", "Ho", "Ho", "Ho", "Ho", "Ho", "Ho", "Ho", "Ho", "Ho", "Ho", "Tl", "Tl", "Tl", "Tl"], "frac_coords": [[0.626, 0.874, 0.000], [0.126, 0.626, 0.000], [0.374, 0.126, 0.000], [0.874, 0.374, 0.000], [0.172, 0.180, 0.725], [0.328, 0.955, 0.275], [0.500, 0.500, 0.000], [0.828, 0.545, 0.725], [0.000, 0.000, 0.000], [0.828, 0.820, 0.275], [0.328, 0.680, 0.725], [0.672, 0.320, 0.275], [0.172, 0.455, 0.275], [0.672, 0.045, 0.725], [0.500, 0.288, 0.576], [0.000, 0.788, 0.576], [0.500, 0.712, 0.424], [0.000, 0.212, 0.424]]}


# 12
{"formula": "Ho2TlIn", "functional": "PBE-GGA", "state": "relaxed", "delta_e_f_ev_per_atom": -0.39, "e_tot_ev_per_cell": -15.83, "density_g_cm3": 10.1, "lattice_angstrom": [[-2.682, 1.675, -2.005], [-2.439, -0.574, 2.782], [1.903, 6.699, 3.051]], "species": ["Tl", "Ho", "Ho", "In"], "frac_coords": [[0.500, 0.500, 0.500], [0.000, 0.000, 0.753], [0.000, 0.000, 0.247], [0.500, 0.500, 0.000]]}